1.
Density functional theory data (PBE) for crystalline AcY5Zn6 at its relaxed geometry.

Geometry as extended XYZ:
```
12
Lattice="-3.815 -3.224 -1.165 -0.174 2.660 -6.791 7.142 -5.012 1.773" Properties=species:S:1:pos:R:3 pbc="T T T"
Y -0.255 -2.072 -4.723
Ac 0.000 0.000 0.000
Zn 1.732 -1.127 -2.555
Zn -2.034 0.315 -5.503
Zn -1.956 -0.880 -2.452
Zn 1.502 -5.705 -0.424
Y 3.407 -3.505 -1.460
Y -0.216 -3.352 -1.307
Zn 1.420 -4.449 -3.628
Y -0.087 1.330 -3.395
Zn 1.651 0.128 -5.760
Y 3.369 -2.225 -4.876
```

Calculated values
Crystal system: orthorhombic
Spin magnetization (μB per formula unit): 0.0
Mass density (g cm⁻³): 6.13
Formation energy (meV/atom): -313
DFT total energy (eV/atom): -3.99

=====

2.
Density functional theory data (PBE) for crystalline AcYZn4 at its relaxed geometry.

Geometry as extended XYZ:
```
6
Lattice="-3.210 -0.240 4.655 2.181 -1.953 4.843 0.978 3.550 4.297" Properties=species:S:1:pos:R:3 pbc="T T T"
Zn -1.137 1.840 6.191
Zn 1.594 0.972 6.287
Ac -0.013 0.339 3.449
Zn -0.527 -0.948 6.468
Y 0.000 0.000 0.000
Zn -0.032 0.851 8.645
```

Calculated values
Crystal system: cubic
Spin magnetization (μB per formula unit): 0.0
Mass density (g cm⁻³): 7.48
Formation energy (meV/atom): -271
DFT total energy (eV/atom): -2.88

=====

3.
Density functional theory data (PBE) for crystalline Ac3YZn4 at its relaxed geometry.

Geometry as extended XYZ:
```
8
Lattice="-0.568 -3.702 -0.787 2.244 -0.970 2.945 -12.187 -0.097 9.254" Properties=species:S:1:pos:R:3 pbc="T T T"
Zn -7.664 -0.061 5.819
Ac -5.256 -2.384 5.706
Y 0.838 -2.336 1.079
Zn -1.232 -0.010 0.935
Ac -2.077 -2.359 3.292
Ac -8.434 -2.409 8.120
Zn -10.955 -0.087 8.319
Zn -4.523 -0.036 3.435
```

Calculated values
Crystal system: tetragonal
Spin magnetization (μB per formula unit): 0.0
Mass density (g cm⁻³): 7.64
Formation energy (meV/atom): -254
DFT total energy (eV/atom): -3.24

=====

4.
Density functional theory data (PBE) for crystalline Ac2YZr at its relaxed geometry.

Geometry as extended XYZ:
```
4
Lattice="3.604 0.000 0.000 1.802 3.122 0.000 1.802 1.041 12.584" Properties=species:S:1:pos:R:3 pbc="T T T"
Zr 0.000 0.000 0.000
Ac 5.407 3.122 3.198
Y 3.604 2.081 6.292
Ac 1.802 1.041 9.385
```

Calculated values
Crystal system: trigonal
Spin magnetization (μB per formula unit): 0.0
Mass density (g cm⁻³): 7.44
Formation energy (meV/atom): 460
DFT total energy (eV/atom): -5.35